Computed, not measured: a relaxed CsNa2CuSn crystal at the PBE level of DFT.

a b c (Å): 5.8509 5.8509 4.9619
angles (deg): 90.00 90.00 90.00
Fractional coordinates of all 5 atoms:
Cs 0.5000 0.5000 0.5000
Na 0.0000 0.5000 0.0000
Na 0.5000 0.0000 0.0000
Sn 0.0000 0.0000 0.5000
Cu 0.0000 0.0000 0.0000

Space-group type: No. 123
ΔE_f, eV/atom: 0.02
Relative energy among the computed polymorphs, eV per atom: 0.000

Computed, not measured: a relaxed CsNa2SrCu crystal at the PBE level of DFT.

a b c (Å): 6.8706 8.7596 6.8706
angles (deg): 90.00 90.00 90.00
Fractional coordinates of all 5 atoms:
Cs 0.0000 0.5000 0.0000
Sr 0.0000 0.0000 0.0000
Cu 0.5000 0.5000 0.5000
Na 0.0000 0.0000 0.5000
Na 0.5000 0.0000 0.0000

Space-group type: No. 123
ΔE_f, eV/atom: 0.87
Relative energy among the computed polymorphs, eV per atom: 0.683

Computed, not measured: a relaxed CsNa2SrCu crystal at the PBE level of DFT.

a b c (Å): 6.1521 6.1521 5.9390
angles (deg): 90.00 90.00 90.00
Fractional coordinates of all 5 atoms:
Cs 0.5000 0.5000 0.5000
Sr 0.0000 0.0000 0.5000
Cu 0.0000 0.0000 0.0000
Na 0.0000 0.5000 0.0000
Na 0.5000 0.0000 0.0000

Space-group type: No. 123
ΔE_f, eV/atom: 0.19
Relative energy among the computed polymorphs, eV per atom: 0.000

Computed, not measured: a relaxed Cs2NaCuTe2 crystal at the PBE level of DFT.

a b c (Å): 7.3142 7.2391 9.7925
angles (deg): 111.69 111.93 90.00
Fractional coordinates of all 12 atoms:
Cs 0.4135 0.1664 0.3328
Cs 0.5865 0.8336 0.6672
Cs 0.0807 0.3336 0.6672
Cs 0.9193 0.6664 0.3328
Na 0.0000 0.7500 0.0000
Na 0.0000 0.2500 0.0000
Cu 0.5000 0.7500 0.0000
Cu 0.5000 0.2500 0.0000
Te 0.7989 0.0862 0.1724
Te 0.3735 0.5862 0.1724
Te 0.6265 0.4138 0.8276
Te 0.2011 0.9138 0.8276

Space-group type: No. 72
E, eV per atom: -2.97

Computed, not measured: a relaxed Cs2NaZnCu crystal at the PBE level of DFT.

a b c (Å): 7.2187 5.5829 7.2187
angles (deg): 90.00 90.00 90.00
Fractional coordinates of all 5 atoms:
Cs 0.0000 0.0000 0.5000
Cs 0.5000 0.0000 0.0000
Na 0.0000 0.0000 0.0000
Zn 0.0000 0.5000 0.0000
Cu 0.5000 0.5000 0.5000

Space-group type: No. 123
ΔE_f, eV/atom: 0.52

Computed, not measured: a relaxed CsNb2Cu crystal at the PBE level of DFT.

a b c (Å): 4.0878 4.0878 11.2693
angles (deg): 79.55 79.55 90.00
Fractional coordinates of all 8 atoms:
Cs 0.0000 0.0000 0.0000
Cs 0.7500 0.2500 0.5000
Nb 0.5850 0.1250 0.2500
Nb 0.1650 0.6250 0.2500
Nb 0.3750 0.4150 0.7500
Nb 0.8750 0.8350 0.7500
Cu 0.5000 0.5000 0.0000
Cu 0.2500 0.7500 0.5000

Space-group type: No. 122
ΔE_f, eV/atom: 1.41
Relative energy among the computed polymorphs, eV per atom: 0.000

Computed, not measured: a relaxed CsNb2Cu crystal at the PBE level of DFT.

a b c (Å): 4.7704 4.7704 4.7704
angles (deg): 60.00 60.00 60.00
Fractional coordinates of all 4 atoms:
Cs 0.5000 0.5000 0.5000
Nb 0.2500 0.2500 0.2500
Nb 0.7500 0.7500 0.7500
Cu 0.0000 0.0000 0.0000

Space-group type: No. 225
ΔE_f, eV/atom: 1.57
Relative energy among the computed polymorphs, eV per atom: 0.155

Computed, not measured: a relaxed CsNbCu3 crystal at the PBE level of DFT.

a b c (Å): 5.1080 5.1080 5.1080
angles (deg): 90.00 90.00 90.00
Fractional coordinates of all 5 atoms:
Cs 0.5000 0.5000 0.5000
Nb 0.0000 0.0000 0.0000
Cu 0.0000 0.5000 0.0000
Cu 0.0000 0.0000 0.5000
Cu 0.5000 0.0000 0.0000

Space-group type: No. 221
ΔE_f, eV/atom: 1.06
Relative energy among the computed polymorphs, eV per atom: 0.000